Record 1
Pa4AsCSe2 | PBE | relaxed

Properties
Raw formation energy ... -7.71 eV per formula unit

abc: 6.9279 3.8343 7.0134
angles: 90.00 107.65 90.00
Element x y z (fractional)
Pa1 0.2128 0.0000 0.2123
Pa2 0.2306 0.5000 0.7711
Pa3 0.7694 0.5000 0.2289
Pa4 0.7872 0.0000 0.7877
As1 0.5000 0.0000 0.0000
C1 0.0000 0.5000 0.0000
Se1 0.0000 0.0000 0.5000
Se2 0.5000 0.5000 0.5000

=====

Record 2
TbPaAsC | PBE | relaxed

Properties
ΔE_f ... -660 meV/atom

abc: 13.4456 13.4456 13.4456
angles: 17.18 17.18 17.18
Element x y z (fractional)
Tb1 0.2070 0.2070 0.2070
Tb2 0.7930 0.7930 0.7930
Pa1 0.3691 0.3691 0.3691
Pa2 0.6309 0.6309 0.6309
As1 0.0872 0.0872 0.0872
As2 0.9128 0.9128 0.9128
C1 0.3107 0.3107 0.3107
C2 0.6893 0.6893 0.6893

=====

Record 3
YPaAsC | PBE | relaxed

Properties
ΔE_f ... -677 meV/atom

abc: 13.4121 13.4121 13.4121
angles: 17.20 17.20 17.20
Element x y z (fractional)
Y1 0.2068 0.2068 0.2068
Y2 0.7932 0.7932 0.7932
Pa1 0.3692 0.3692 0.3692
Pa2 0.6308 0.6308 0.6308
As1 0.0875 0.0875 0.0875
As2 0.9125 0.9125 0.9125
C1 0.3107 0.3107 0.3107
C2 0.6893 0.6893 0.6893

=====

Record 4
AsPbC2 | PBE | relaxed

Properties
ΔE_f ... 1346 meV/atom

abc: 5.8125 5.8125 5.8125
angles: 124.66 124.66 82.10
Element x y z (fractional)
As1 0.0000 0.0000 0.0000
As2 0.7500 0.2500 0.5000
Pb1 0.2500 0.7500 0.5000
Pb2 0.5000 0.5000 0.0000
C1 0.0451 0.6250 0.9201
C2 0.3750 0.2951 0.4201
C3 0.7049 0.1250 0.0799
C4 0.8750 0.9549 0.5799

=====

Record 5
AsPbC3 | PBE | relaxed

Properties
ΔE_f ... 2439 meV/atom

abc: 4.0868 4.0868 4.0868
angles: 90.00 90.00 90.00
Element x y z (fractional)
As1 0.0000 0.0000 0.0000
Pb1 0.5000 0.5000 0.5000
C1 0.0000 0.0000 0.5000
C2 0.0000 0.5000 0.0000
C3 0.5000 0.0000 0.0000

=====

Record 6
As2PbC | PBE | relaxed

Properties
ΔE_f ... 1661 meV/atom

abc: 4.7861 4.7861 4.7861
angles: 60.00 60.00 60.00
Element x y z (fractional)
As1 0.2500 0.2500 0.2500
As2 0.7500 0.7500 0.7500
Pb1 0.0000 0.0000 0.0000
C1 0.5000 0.5000 0.5000

=====

Record 7
AsPbC2 | PBE | relaxed

Properties
ΔE_f ... 2376 meV/atom

abc: 4.3838 4.3838 4.3838
angles: 60.00 60.00 60.00
Element x y z (fractional)
As1 0.0000 0.0000 0.0000
Pb1 0.5000 0.5000 0.5000
C1 0.2500 0.2500 0.2500
C2 0.7500 0.7500 0.7500

=====

Record 8
AsPbC3 | PBE | relaxed

Properties
ΔE_f ... 3454 meV/atom

abc: 4.4568 4.4568 4.4568
angles: 90.00 90.00 90.00
Element x y z (fractional)
As1 0.0000 0.0000 0.0000
Pb1 0.5000 0.5000 0.5000
C1 0.0000 0.5000 0.5000
C2 0.5000 0.0000 0.5000
C3 0.5000 0.5000 0.0000

=====

Record 9
As2PbC | PBE | relaxed

Properties
ΔE_f ... 676 meV/atom

abc: 5.9903 5.9903 5.9903
angles: 113.72 113.72 101.27
Element x y z (fractional)
As1 0.0049 0.1250 0.3799
As2 0.3750 0.9951 0.1201
As3 0.7451 0.6250 0.6201
As4 0.8750 0.2549 0.8799
Pb1 0.2500 0.7500 0.5000
Pb2 0.5000 0.5000 0.0000
C1 0.0000 0.0000 0.0000
C2 0.7500 0.2500 0.5000

=====

Record 10
SbAsPb2C | PBE | relaxed

Properties
Raw formation energy ... 9.56 eV per formula unit

abc: 6.0152 6.0152 5.2230
angles: 90.00 90.00 90.00
Element x y z (fractional)
Sb1 0.0000 0.0000 0.0000
As1 0.0000 0.0000 0.5000
Pb1 0.0000 0.5000 0.0000
Pb2 0.5000 0.0000 0.0000
C1 0.5000 0.5000 0.5000

=====

Record 11
AsPbCSe2 | PBE | relaxed

Properties
Raw formation energy ... 10.81 eV per formula unit

abc: 5.5572 5.5572 5.4913
angles: 90.00 90.00 90.00
Element x y z (fractional)
As1 0.0000 0.0000 0.0000
Pb1 0.0000 0.0000 0.5000
C1 0.5000 0.5000 0.0000
Se1 0.0000 0.5000 0.5000
Se2 0.5000 0.0000 0.5000

=====

Record 12
AsPbCSe2 | PBE | relaxed

Properties
Raw formation energy ... 4.18 eV per formula unit

abc: 5.0275 5.0275 4.0943
angles: 90.00 90.00 90.00
Element x y z (fractional)
As1 0.0000 0.0000 0.0000
Pb1 0.5000 0.5000 0.0000
C1 0.0000 0.0000 0.5000
Se1 0.0000 0.5000 0.5000
Se2 0.5000 0.0000 0.5000

=====

Record 13
AsPbCSe2 | PBE | relaxed

Properties
Raw formation energy ... 4.16 eV per formula unit

abc: 5.3025 5.3025 3.9301
angles: 90.00 90.00 90.00
Element x y z (fractional)
As1 0.0000 0.0000 0.0000
Pb1 0.5000 0.5000 0.5000
C1 0.0000 0.0000 0.5000
Se1 0.0000 0.5000 0.0000
Se2 0.5000 0.0000 0.0000

=====

Record 14
YAsPb2C | PBE | relaxed

Properties
ΔE_f ... 360 meV/atom

abc: 5.0226 5.0226 5.0777
angles: 90.00 90.00 90.00
Element x y z (fractional)
Y1 0.0000 0.0000 0.0000
As1 0.5000 0.5000 0.0000
Pb1 0.0000 0.5000 0.5000
Pb2 0.5000 0.0000 0.5000
C1 0.0000 0.0000 0.5000

=====

Record 15
As3PdC | PBE | relaxed

Properties
ΔE_f ... 912 meV/atom

abc: 4.3142 4.3142 4.3142
angles: 90.00 90.00 90.00
Element x y z (fractional)
As1 0.0000 0.0000 0.5000
As2 0.0000 0.5000 0.0000
As3 0.5000 0.0000 0.0000
Pd1 0.5000 0.5000 0.5000
C1 0.0000 0.0000 0.0000

=====

Record 16
AsPd3C | PBE | relaxed

Properties
ΔE_f ... 250 meV/atom

abc: 4.1888 4.1888 4.1888
angles: 90.00 90.00 90.00
Element x y z (fractional)
As1 0.0000 0.0000 0.0000
Pd1 0.0000 0.5000 0.5000
Pd2 0.5000 0.0000 0.5000
Pd3 0.5000 0.5000 0.0000
C1 0.5000 0.5000 0.5000

=====

Record 17
AsPd2C | PBE | relaxed

Properties
ΔE_f ... 924 meV/atom

abc: 4.2722 4.2722 4.2722
angles: 60.00 60.00 60.00
Element x y z (fractional)
As1 0.0000 0.0000 0.0000
Pd1 0.2500 0.2500 0.2500
Pd2 0.7500 0.7500 0.7500
C1 0.5000 0.5000 0.5000

=====

Record 18
AsPd3C | PBE | relaxed

Properties
ΔE_f ... 1471 meV/atom

abc: 4.6161 4.6161 4.6161
angles: 90.00 90.00 90.00
Element x y z (fractional)
As1 0.0000 0.0000 0.0000
Pd1 0.0000 0.0000 0.5000
Pd2 0.0000 0.5000 0.0000
Pd3 0.5000 0.0000 0.0000
C1 0.5000 0.5000 0.5000

=====

Record 19
AsPd2C | PBE | relaxed

Properties
ΔE_f ... 525 meV/atom

abc: 6.6876 6.6876 6.6876
angles: 137.55 137.55 61.59
Element x y z (fractional)
As1 0.0000 0.0000 0.0000
As2 0.7500 0.2500 0.5000
Pd1 0.2165 0.6250 0.0915
Pd2 0.3750 0.4665 0.5915
Pd3 0.5335 0.1250 0.9085
Pd4 0.8750 0.7835 0.4085
C1 0.2500 0.7500 0.5000
C2 0.5000 0.5000 0.0000

=====

Record 20
As3PdC | PBE | relaxed

Properties
ΔE_f ... 1867 meV/atom

abc: 4.8524 4.8524 4.8524
angles: 90.00 90.00 90.00
Element x y z (fractional)
As1 0.0000 0.0000 0.5000
As2 0.0000 0.5000 0.0000
As3 0.5000 0.0000 0.0000
Pd1 0.0000 0.0000 0.0000
C1 0.5000 0.5000 0.5000

=====

| no. | DFT total energy (eV/f.u.) | DOS at the Fermi energy (states/eV/atom) |
| --- | --- | --- |
| 1 | -66.54 | 1.2684 |
| 2 | -30.64 | 0.0466 |
| 3 | -32.54 | 0.0881 |
| 4 | -21.42 | 0.5503 |
| 5 | -23.84 | 0.8567 |
| 6 | -15.59 | 0.7197 |
| 7 | -17.30 | 0.5755 |
| 8 | -18.76 | 0.5832 |
| 9 | -19.53 | 0.0205 |
| 10 | -15.85 | 0.9287 |
| 11 | -13.74 | 1.3368 |
| 12 | -20.37 | 0.5007 |
| 13 | -20.39 | 0.4861 |
| 14 | -25.95 | 0.5735 |
| 15 | -23.81 | 0.3429 |
| 16 | -28.20 | 0.3427 |
| 17 | -20.56 | 0.6447 |
| 18 | -22.10 | 0.4224 |
| 19 | -22.16 | 0.4397 |
| 20 | -19.03 | 0.5917 |